Density functional theory data (PBE with a Hubbard U) for a geometry-optimized Ba3Al2CrO8 structure.

The structure in POSCAR format:
```
Ba3Al2CrO8
1.0
-1.3599 2.2342 5.0430
2.8974 -4.8798 -0.2566
6.3795 3.7856 0.0431
Ba Al Cr O
3 2 1 8
direct
0.3333 0.6667 0.6740
0.6667 0.3333 0.3260
0.0000 0.0000 0.0000
0.3333 0.6667 0.2469
0.6667 0.3333 0.7531
0.0000 0.0000 0.5000
0.3333 0.6667 0.0142
0.6667 0.3333 0.9858
0.1644 0.8356 0.3384
0.8356 0.1644 0.6616
0.1644 0.3288 0.3384
0.8356 0.6712 0.6616
0.6712 0.8356 0.3384
0.3288 0.1644 0.6616
```

Output
As for the density of states at the Fermi level: 5.63 states/eV/f.u. The calculation puts the electronic total energy at -96.3 eV for the cell shown.